Entry 1:
# La3Dy6Er2Th PBE-GGA optimized geometry
data_La3Dy6Er2Th
_cell_length_a 6.215
_cell_length_b 6.215
_cell_length_c 11.884
_cell_angle_alpha 95.01
_cell_angle_beta 95.01
_cell_angle_gamma 120.00
_space_group_name_H-M_alt 'P 1'
_space_group_IT_number 1
_space_group_name_Hall 'P 1'
loop_
_atom_site_label
_atom_site_type_symbol
_atom_site_fract_x
_atom_site_fract_y
_atom_site_fract_z
Er1 Er 0.333 0.667 0.000
Er2 Er 0.667 0.333 0.000
Dy1 Dy 0.081 0.412 0.244
Th1 Th 0.000 0.000 0.000
La1 La 0.833 0.167 0.500
Dy2 Dy 0.588 0.919 0.756
Dy3 Dy 0.412 0.081 0.244
Dy4 Dy 0.919 0.588 0.756
Dy5 Dy 0.751 0.751 0.244
La2 La 0.167 0.833 0.500
La3 La 0.500 0.500 0.500
Dy6 Dy 0.249 0.249 0.756
# Magnetization ... 0.00 μB per cell
# VASP energy ... -58.676 eV per formula unit
# Calculated volume ... 391.4 Å³ per cell
# ρ ... 8.3 g/cm³


Entry 2:
# LaDyErTh2 PBE-GGA optimized geometry
data_LaDyErTh2
_cell_length_a 7.099
_cell_length_b 8.560
_cell_length_c 7.314
_cell_angle_alpha 125.81
_cell_angle_beta 90.00
_cell_angle_gamma 90.00
_space_group_name_H-M_alt 'P 1'
_space_group_IT_number 1
_space_group_name_Hall 'P 1'
loop_
_atom_site_label
_atom_site_type_symbol
_atom_site_fract_x
_atom_site_fract_y
_atom_site_fract_z
Dy1 Dy 0.250 0.289 0.577
La1 La 0.250 0.754 0.509
Dy2 Dy 0.750 0.711 0.423
Er1 Er 0.750 0.978 0.955
Er2 Er 0.250 0.022 0.045
Th1 Th 0.000 0.687 0.000
Th2 Th 0.500 0.687 0.000
Th3 Th 0.000 0.313 0.000
Th4 Th 0.500 0.313 0.000
La2 La 0.750 0.246 0.491
# Magnetization ... 0.00 μB per cell
# VASP energy ... -26.691 eV per formula unit
# Calculated volume ... 360.5 Å³ per cell
# ρ ... 8.6 g/cm³


Entry 3:
# La3DyEr6Th2 PBE-GGA optimized geometry
data_La3DyEr6Th2
_cell_length_a 6.207
_cell_length_b 6.207
_cell_length_c 11.778
_cell_angle_alpha 95.06
_cell_angle_beta 95.06
_cell_angle_gamma 119.98
_space_group_name_H-M_alt 'P 1'
_space_group_IT_number 1
_space_group_name_Hall 'P 1'
loop_
_atom_site_label
_atom_site_type_symbol
_atom_site_fract_x
_atom_site_fract_y
_atom_site_fract_z
La1 La 0.835 0.165 0.500
Er1 Er 0.256 0.256 0.757
Dy1 Dy 0.000 0.000 0.000
Th1 Th 0.667 0.333 0.000
Er2 Er 0.418 0.081 0.243
Er3 Er 0.919 0.582 0.757
Th2 Th 0.333 0.667 0.000
Er4 Er 0.582 0.919 0.757
La2 La 0.500 0.500 0.500
La3 La 0.165 0.835 0.500
Er5 Er 0.744 0.744 0.243
Er6 Er 0.081 0.418 0.243
# Magnetization ... 0.00 μB per cell
# VASP energy ... -61.371 eV per formula unit
# Calculated volume ... 386.9 Å³ per cell
# ρ ... 8.8 g/cm³